# 1
Entry from Alexandria via LeMat-Bulk: a relaxed AcPaPt2O8 crystal (PBE-GGA).

Output
total magnetization = 0.000 μB per formula unit
ρ = 8.5 g/cm³
uncorrected formation energy = -1.6902 eV per atom
space-group type = I-4m2 (119)
V = 191.0 Å³ per cell

a = 6.284 Å, b = 6.284 Å, c = 6.284 Å
α = 109.01°, β = 109.01°, γ = 110.39°
Atoms (fractional coordinates):
O1 0.282 0.122 0.840
O2 0.364 0.052 0.312
O3 0.282 0.441 0.160
Pt1 0.500 0.500 0.000
O4 0.559 0.718 0.840
O5 0.948 0.260 0.312
Pa1 0.000 0.000 0.000
O6 0.878 0.718 0.160
O7 0.740 0.052 0.688
Ac1 0.250 0.750 0.500
O8 0.948 0.636 0.688
Pt2 0.750 0.250 0.500

# 2
Entry from Alexandria via LeMat-Bulk: a relaxed AcPuPa2O8 crystal (PBE-GGA).

Output
total magnetization = 5.000 μB per formula unit
ρ = 10.3 g/cm³
uncorrected formation energy = -3.5256 eV per atom
space-group type = I-4m2 (119)
V = 170.8 Å³ per cell

a = 5.580 Å, b = 5.580 Å, c = 6.758 Å
α = 114.38°, β = 114.38°, γ = 90.00°
Last column: magnetic moment on the atom in μB.
Atoms (fractional coordinates):
O1 0.879 0.850 0.243  -0.02
O2 0.607 0.121 0.757  -0.02
O3 0.150 0.121 0.757  -0.02
Ac1 0.750 0.250 0.500  0.01
Pa1 0.250 0.750 0.500  0.16
Pa2 0.500 0.500 0.000  0.16
Pu1 0.000 0.000 0.000  4.74
O4 0.365 0.393 0.243  -0.02
O5 0.606 0.636 0.757  -0.02
O6 0.879 0.394 0.243  -0.02
O7 0.150 0.635 0.757  -0.02
O8 0.364 0.850 0.243  -0.02

# 3
Entry from Alexandria via LeMat-Bulk: a relaxed Rb4Ac3PaO8 crystal (PBE-GGA).

Output
total magnetization = 0.060 μB per formula unit
ρ = 6.3 g/cm³
uncorrected formation energy = -2.5002 eV per atom
space-group type = C2/m (12)
V = 361.8 Å³ per cell

a = 7.769 Å, b = 8.253 Å, c = 7.767 Å
α = 118.12°, β = 120.01°, γ = 90.00°
Atoms (fractional coordinates):
Ac1 0.500 0.500 0.500
O1 0.281 0.344 0.562
Rb1 0.000 0.000 0.500
Rb2 0.500 0.000 0.500
O2 0.719 0.656 0.438
Ac2 0.500 0.500 0.000
O3 0.236 0.342 0.039
Rb3 0.500 0.000 0.000
O4 0.764 0.658 0.961
Pa1 0.000 0.500 0.000
O5 0.803 0.342 0.039
Rb4 0.000 0.000 0.000
O6 0.197 0.658 0.961
O7 0.197 0.658 0.395
O8 0.803 0.342 0.605
Ac3 0.000 0.500 0.500

# 4
Entry from Alexandria via LeMat-Bulk: a relaxed Rb2AcPaO6 crystal (PBE-GGA).

Output
total magnetization = 1.540 μB per formula unit
ρ = 6.3 g/cm³
uncorrected formation energy = -2.5064 eV per atom
space-group type = Fm-3m (225)
V = 191.3 Å³ per cell

a = 6.467 Å, b = 6.466 Å, c = 6.468 Å
α = 60.00°, β = 60.00°, γ = 90.00°
Last column: magnetic moment on the atom in μB.
Atoms (fractional coordinates):
O1 0.267 0.267 0.466  0.17
Rb1 0.750 0.250 0.500  0.00
Rb2 0.250 0.750 0.500  0.00
O2 0.267 0.267 0.000  0.19
O3 0.267 0.733 0.000  0.19
O4 0.733 0.733 0.534  0.17
O5 0.733 0.267 0.000  0.19
Ac1 0.000 0.000 0.000  0.09
O6 0.733 0.733 0.000  0.19
Pa1 0.500 0.500 0.000  0.21

# 5
Entry from Alexandria via LeMat-Bulk: a relaxed Ac2PaReO8 crystal (PBE-GGA).

Output
total magnetization = 0.000 μB per formula unit
ρ = 9.1 g/cm³
uncorrected formation energy = -2.7701 eV per atom
space-group type = P2/m (10)
V = 183.3 Å³ per cell

a = 4.466 Å, b = 5.576 Å, c = 7.400 Å
α = 90.00°, β = 90.00°, γ = 95.91°
Atoms (fractional coordinates):
O1 0.409 0.236 0.500
Ac1 0.500 0.500 0.759
O2 0.358 0.188 0.000
Ac2 0.500 0.500 0.241
Re1 0.000 0.000 0.000
O3 0.076 0.786 0.759
Pa1 0.000 0.000 0.500
O4 0.591 0.764 0.500
O5 0.924 0.214 0.241
O6 0.924 0.214 0.759
O7 0.076 0.786 0.241
O8 0.642 0.812 0.000

# 6
Entry from Alexandria via LeMat-Bulk: a relaxed Ac2PaRh3O12 crystal (PBE-GGA).

Output
total magnetization = 1.327 μB per formula unit
ρ = 8.3 g/cm³
uncorrected formation energy = -1.8788 eV per atom
space-group type = R-3m (166)
V = 236.1 Å³ per cell

a = 6.786 Å, b = 6.786 Å, c = 6.786 Å
α = 63.08°, β = 63.08°, γ = 63.08°
Last column: magnetic moment on the atom in μB.
Atoms (fractional coordinates):
Rh1 0.000 0.000 0.500  0.23
O1 0.143 0.580 0.143  0.07
Ac1 0.615 0.615 0.615  0.00
Rh2 0.500 0.000 0.000  0.23
O2 0.580 0.143 0.143  0.07
O3 0.738 0.137 0.738  0.02
O4 0.262 0.863 0.262  0.02
Rh3 0.000 0.500 0.000  0.23
O5 0.420 0.857 0.857  0.07
Ac2 0.385 0.385 0.385  0.00
O6 0.857 0.857 0.420  0.07
O7 0.262 0.262 0.863  0.02
O8 0.137 0.738 0.738  0.02
O9 0.863 0.262 0.262  0.02
Pa1 0.000 0.000 0.000  0.00
O10 0.738 0.738 0.137  0.02
O11 0.857 0.420 0.857  0.07
O12 0.143 0.143 0.580  0.07

# 7
Entry from Alexandria via LeMat-Bulk: a relaxed Ac2PaRhO8 crystal (PBE-GGA).

Output
total magnetization = 2.033 μB per formula unit
ρ = 8.3 g/cm³
uncorrected formation energy = -2.5052 eV per atom
space-group type = P2/m (10)
V = 182.5 Å³ per cell

a = 4.430 Å, b = 5.608 Å, c = 7.398 Å
α = 90.00°, β = 90.00°, γ = 96.79°
Last column: magnetic moment on the atom in μB.
Atoms (fractional coordinates):
O1 0.067 0.782 0.241  0.00
O2 0.933 0.218 0.759  0.00
O3 0.375 0.193 0.000  0.37
Pa1 0.000 0.000 0.500  0.01
O4 0.584 0.769 0.500  0.01
Ac1 0.500 0.500 0.760  0.03
O5 0.067 0.782 0.759  0.00
O6 0.625 0.807 0.000  0.37
O7 0.416 0.231 0.500  0.01
O8 0.933 0.218 0.241  0.00
Ac2 0.500 0.500 0.240  0.03
Rh1 0.000 0.000 0.000  1.02

# 8
Entry from Alexandria via LeMat-Bulk: a relaxed AcPaRu2O8 crystal (PBE-GGA).

Output
total magnetization = 0.000 μB per formula unit
ρ = 6.1 g/cm³
uncorrected formation energy = -1.8507 eV per atom
space-group type = P-3m1 (164)
V = 213.2 Å³ per cell

a = 5.835 Å, b = 5.835 Å, c = 7.232 Å
α = 90.00°, β = 90.00°, γ = 120.00°
Atoms (fractional coordinates):
Pa1 0.000 0.000 0.000
O1 0.667 0.333 0.553
O2 0.157 0.315 0.793
O3 0.843 0.157 0.207
Ac1 0.000 0.000 0.500
O4 0.685 0.843 0.793
O5 0.315 0.157 0.207
Ru1 0.667 0.333 0.306
O6 0.333 0.667 0.447
O7 0.843 0.685 0.207
Ru2 0.333 0.667 0.694
O8 0.157 0.843 0.793

# 9
Entry from Alexandria via LeMat-Bulk: a relaxed AcPaRuO6 crystal (PBE-GGA).

Output
total magnetization = 2.001 μB per formula unit
ρ = 7.9 g/cm³
uncorrected formation energy = -2.5200 eV per atom
space-group type = P4_2nm (102)
V = 277.0 Å³ per cell

a = 5.166 Å, b = 5.166 Å, c = 10.379 Å
α = 90.00°, β = 90.00°, γ = 90.00°
Last column: magnetic moment on the atom in μB.
Atoms (fractional coordinates):
Ac1 0.000 0.000 0.007  0.02
O1 0.729 0.729 0.313  0.12
Pa1 0.500 0.500 0.168  0.04
O2 0.291 0.291 0.692  0.02
O3 0.209 0.791 0.192  0.02
O4 0.169 0.831 0.491  0.04
O5 0.709 0.709 0.692  0.02
Ac2 0.500 0.500 0.507  0.02
Pa2 0.000 0.000 0.668  0.04
Ru1 0.000 0.000 0.333  1.40
O6 0.831 0.169 0.491  0.04
O7 0.771 0.229 0.813  0.12
O8 0.791 0.209 0.192  0.02
O9 0.331 0.331 0.991  0.04
O10 0.271 0.271 0.313  0.12
Ru2 0.500 0.500 0.833  1.40
O11 0.669 0.669 0.991  0.04
O12 0.229 0.771 0.813  0.12

# 10
Entry from Alexandria via LeMat-Bulk: a relaxed Ac2PaRu3O12 crystal (PBE-GGA).

Output
total magnetization = 5.903 μB per formula unit
ρ = 8.2 g/cm³
uncorrected formation energy = -1.9919 eV per atom
space-group type = R-3m (166)
V = 237.7 Å³ per cell

a = 6.762 Å, b = 6.762 Å, c = 6.762 Å
α = 63.96°, β = 63.96°, γ = 63.96°
Last column: magnetic moment on the atom in μB.
Atoms (fractional coordinates):
Pa1 0.000 0.000 0.000  0.10
Ac1 0.385 0.385 0.385  0.02
O1 0.265 0.265 0.864  0.07
Ru1 0.000 0.000 0.500  1.35
O2 0.735 0.136 0.735  0.07
O3 0.265 0.864 0.265  0.07
O4 0.857 0.857 0.422  0.14
O5 0.735 0.735 0.136  0.07
O6 0.422 0.857 0.857  0.14
O7 0.136 0.735 0.735  0.07
Ac2 0.615 0.615 0.615  0.02
O8 0.857 0.422 0.857  0.14
O9 0.143 0.143 0.578  0.14
Ru2 0.500 0.000 0.000  1.35
O10 0.864 0.265 0.265  0.07
O11 0.143 0.578 0.143  0.14
Ru3 0.000 0.500 0.000  1.35
O12 0.578 0.143 0.143  0.14

# 11
Entry from Alexandria via LeMat-Bulk: a relaxed AcPaS2O crystal (PBE-GGA).

Output
total magnetization = 0.533 μB per formula unit
ρ = 8.0 g/cm³
uncorrected formation energy = -2.3339 eV per atom
space-group type = P4/nmm (129)
V = 224.2 Å³ per cell

a = 4.005 Å, b = 4.005 Å, c = 13.980 Å
α = 90.00°, β = 90.00°, γ = 90.00°
Last column: magnetic moment on the atom in μB.
Atoms (fractional coordinates):
S1 0.500 0.000 0.897  -0.02
Pa1 0.500 0.000 0.102  0.45
S2 0.000 0.500 0.103  -0.02
O1 0.000 0.000 0.500  0.00
S3 0.500 0.000 0.286  -0.01
Ac1 0.500 0.000 0.599  0.00
Pa2 0.000 0.500 0.898  0.45
S4 0.000 0.500 0.714  -0.01
O2 0.500 0.500 0.500  0.00
Ac2 0.000 0.500 0.401  0.00

# 12
Entry from Alexandria via LeMat-Bulk: a relaxed AcPa2SbO7 crystal (PBE-GGA).

Output
total magnetization = 2.004 μB per formula unit
ρ = 7.3 g/cm³
uncorrected formation energy = -2.7790 eV per atom
space-group type = P4/mmm (123)
V = 211.3 Å³ per cell

a = 4.291 Å, b = 4.291 Å, c = 11.476 Å
α = 90.00°, β = 90.00°, γ = 90.00°
Last column: magnetic moment on the atom in μB.
Atoms (fractional coordinates):
Ac1 0.000 0.000 0.000  0.00
O1 0.500 0.000 0.151  0.00
O2 0.500 0.500 0.000  0.00
O3 0.500 0.500 0.628  0.11
Pa1 0.500 0.500 0.201  0.03
O4 0.000 0.500 0.151  0.00
O5 0.500 0.500 0.372  0.11
O6 0.500 0.000 0.849  0.00
Sb1 0.000 0.000 0.500  0.69
Pa2 0.500 0.500 0.799  0.03
O7 0.000 0.500 0.849  0.00

# 13
Entry from Alexandria via LeMat-Bulk: a relaxed AcPaSe2O8 crystal (PBE-GGA).

Output
total magnetization = 0.000 μB per formula unit
ρ = 6.4 g/cm³
uncorrected formation energy = -1.9112 eV per atom
space-group type = I-4m2 (119)
V = 193.2 Å³ per cell

a = 6.319 Å, b = 6.319 Å, c = 6.319 Å
α = 107.10°, β = 107.10°, γ = 114.32°
Atoms (fractional coordinates):
Se1 0.500 0.500 0.000
O1 0.372 0.070 0.302
O2 0.293 0.463 0.171
O3 0.930 0.231 0.302
Ac1 0.250 0.750 0.500
O4 0.930 0.628 0.698
O5 0.537 0.707 0.829
Pa1 0.000 0.000 0.000
Se2 0.750 0.250 0.500
O6 0.293 0.122 0.829
O7 0.878 0.707 0.171
O8 0.769 0.070 0.698

# 14
Entry from Alexandria via LeMat-Bulk: a relaxed AcPa2SnO7 crystal (PBE-GGA).

Output
total magnetization = 0.915 μB per formula unit
ρ = 7.4 g/cm³
uncorrected formation energy = -2.8812 eV per atom
space-group type = P4/mmm (123)
V = 207.4 Å³ per cell

a = 4.280 Å, b = 4.280 Å, c = 11.323 Å
α = 90.00°, β = 90.00°, γ = 90.00°
Last column: magnetic moment on the atom in μB.
Atoms (fractional coordinates):
Sn1 0.000 0.000 0.500  0.31
O1 0.500 0.000 0.153  0.01
Ac1 0.000 0.000 0.000  0.00
O2 0.000 0.500 0.153  0.01
O3 0.500 0.500 0.000  0.00
O4 0.500 0.500 0.380  0.02
O5 0.000 0.500 0.847  0.01
Pa1 0.500 0.500 0.204  0.03
Pa2 0.500 0.500 0.796  0.03
O6 0.500 0.500 0.620  0.02
O7 0.500 0.000 0.847  0.01

# 15
Entry from Alexandria via LeMat-Bulk: a relaxed AcPaSn2O8 crystal (PBE-GGA).

Output
total magnetization = 0.000 μB per formula unit
ρ = 6.9 g/cm³
uncorrected formation energy = -2.4304 eV per atom
space-group type = I-4m2 (119)
V = 197.5 Å³ per cell

a = 6.361 Å, b = 6.361 Å, c = 6.361 Å
α = 107.68°, β = 107.68°, γ = 113.12°
Atoms (fractional coordinates):
Sn1 0.750 0.250 0.500
O1 0.365 0.039 0.326
O2 0.961 0.635 0.674
Pa1 0.250 0.750 0.500
O3 0.318 0.520 0.202
O4 0.885 0.682 0.202
O5 0.713 0.039 0.674
O6 0.961 0.287 0.326
Ac1 0.000 0.000 0.000
Sn2 0.500 0.500 0.000
O7 0.318 0.115 0.798
O8 0.480 0.682 0.798

# 16
Entry from Alexandria via LeMat-Bulk: a relaxed SrAc2PaO6 crystal (PBE-GGA).

Output
total magnetization = 0.936 μB per formula unit
ρ = 8.0 g/cm³
uncorrected formation energy = -3.2527 eV per atom
space-group type = P2_1/c (14)
V = 358.9 Å³ per cell

a = 6.178 Å, b = 6.328 Å, c = 9.180 Å
α = 90.00°, β = 90.06°, γ = 90.00°
Last column: magnetic moment on the atom in μB.
Atoms (fractional coordinates):
O1 0.859 0.574 0.228  -0.01
O2 0.277 0.697 0.073  -0.01
O3 0.694 0.277 0.591  -0.01
O4 0.306 0.723 0.409  -0.01
O5 0.359 0.926 0.728  -0.01
Ac1 0.023 0.954 0.253  0.02
Ac2 0.523 0.546 0.753  0.02
Ac3 0.477 0.454 0.247  0.02
O6 0.723 0.303 0.927  -0.01
Pa1 0.000 0.500 0.000  0.81
O7 0.194 0.223 0.091  -0.01
O8 0.806 0.777 0.909  -0.01
Sr1 0.000 0.500 0.500  0.00
Sr2 0.500 0.000 0.000  0.00
O9 0.641 0.074 0.272  -0.01
O10 0.141 0.426 0.772  -0.01
Ac4 0.977 0.046 0.747  0.02
Pa2 0.500 0.000 0.500  0.81
O11 0.223 0.197 0.427  -0.01
O12 0.777 0.803 0.573  -0.01

# 17
Entry from Alexandria via LeMat-Bulk: a relaxed Sr2AcPaO6 crystal (PBE-GGA).

Output
total magnetization = 0.000 μB per formula unit
ρ = 7.0 g/cm³
uncorrected formation energy = -3.2986 eV per atom
space-group type = P2_1/c (14)
V = 348.4 Å³ per cell

a = 6.153 Å, b = 6.372 Å, c = 8.888 Å
α = 90.00°, β = 89.98°, γ = 90.00°
Atoms (fractional coordinates):
O1 0.209 0.178 0.444
Sr1 0.488 0.454 0.244
O2 0.677 0.284 0.576
O3 0.291 0.678 0.056
Sr2 0.988 0.046 0.744
O4 0.379 0.935 0.731
Pa1 0.000 0.500 0.000
O5 0.323 0.716 0.424
Pa2 0.500 0.000 0.500
O6 0.621 0.065 0.269
O7 0.121 0.435 0.769
O8 0.791 0.822 0.556
Sr3 0.012 0.954 0.256
O9 0.177 0.216 0.076
Ac1 0.500 0.000 0.000
O10 0.709 0.322 0.944
Sr4 0.512 0.546 0.756
O11 0.823 0.784 0.924
O12 0.879 0.565 0.231
Ac2 0.000 0.500 0.500

# 18
Entry from Alexandria via LeMat-Bulk: a relaxed SrAcPa2O8 crystal (PBE-GGA).

Output
total magnetization = 0.737 μB per formula unit
ρ = 8.5 g/cm³
uncorrected formation energy = -3.3145 eV per atom
space-group type = I-4m2 (119)
V = 175.9 Å³ per cell

a = 5.673 Å, b = 5.673 Å, c = 6.779 Å
α = 114.74°, β = 114.74°, γ = 90.00°
Last column: magnetic moment on the atom in μB.
Atoms (fractional coordinates):
O1 0.156 0.126 0.749  0.08
Pa1 0.250 0.750 0.500  -0.02
O2 0.156 0.623 0.749  0.08
O3 0.377 0.844 0.251  0.08
O4 0.377 0.407 0.251  0.08
O5 0.874 0.844 0.251  0.08
Sr1 0.000 0.000 0.000  0.00
O6 0.593 0.623 0.749  0.08
Pa2 0.500 0.500 0.000  -0.02
O7 0.593 0.126 0.749  0.08
O8 0.874 0.407 0.251  0.08
Ac1 0.750 0.250 0.500  0.02

# 19
Entry from Alexandria via LeMat-Bulk: a relaxed AcPaTaO6 crystal (PBE-GGA).

Output
total magnetization = 1.042 μB per formula unit
ρ = 8.5 g/cm³
uncorrected formation energy = -3.1625 eV per atom
space-group type = P4_2nm (102)
V = 285.7 Å³ per cell

a = 5.217 Å, b = 5.217 Å, c = 10.498 Å
α = 90.00°, β = 90.00°, γ = 90.00°
Last column: magnetic moment on the atom in μB.
Atoms (fractional coordinates):
O1 0.698 0.698 0.697  -0.01
Ta1 0.500 0.500 0.833  0.16
O2 0.802 0.198 0.197  -0.01
O3 0.198 0.802 0.197  -0.01
Ac1 0.000 0.000 0.001  0.03
O4 0.671 0.671 0.987  -0.01
O5 0.829 0.171 0.487  -0.01
O6 0.171 0.829 0.487  -0.01
Ac2 0.500 0.500 0.501  0.03
O7 0.772 0.228 0.815  -0.01
Ta2 0.000 0.000 0.333  0.16
O8 0.272 0.272 0.315  -0.01
Pa1 0.000 0.000 0.666  0.78
O9 0.228 0.772 0.815  -0.01
Pa2 0.500 0.500 0.166  0.78
O10 0.728 0.728 0.315  -0.01
O11 0.302 0.302 0.697  -0.01
O12 0.329 0.329 0.987  -0.01